Material: SrTl2CrF6
Method: DFT, GGA+U
State: optimized geometry

The total energy is -5.14 eV/atom. Its space group is Pmmn (59).

abc: 6.3706 8.8314 6.6809
angles: 90.00 90.00 90.00
With the nearest neighbours (Å) after each atom.
Fractional positions:
1 Sr 0.2500 0.2500 0.2246  6 F 2.40-2.44
2 Sr 0.7500 0.7500 0.7754  6 F 2.40-2.44
3 Tl 0.2500 0.0332 0.7168  5 F 2.82-3.01
4 Tl 0.2500 0.4668 0.7168  5 F 2.82-3.01
5 Tl 0.7500 0.5332 0.2832  5 F 2.82-3.01
6 Tl 0.7500 0.9668 0.2832  5 F 2.82-3.01
7 Cr 0.2500 0.7500 0.2655  6 F 2.02-2.24
8 Cr 0.7500 0.2500 0.7345  6 F 2.02-2.24
9 F 0.0093 0.2500 0.5088  1 Cr 2.24, 1 Sr 2.44
10 F 0.0113 0.2500 0.9475  1 Cr 2.19, 1 Sr 2.40
11 F 0.2500 0.5213 0.2727  1 Cr 2.02
12 F 0.2500 0.9787 0.2727  1 Cr 2.02
13 F 0.4887 0.2500 0.9475  1 Cr 2.19, 1 Sr 2.40
14 F 0.4907 0.2500 0.5088  1 Cr 2.24, 1 Sr 2.44
15 F 0.5093 0.7500 0.4912  1 Cr 2.24, 1 Sr 2.44
16 F 0.5113 0.7500 0.0525  1 Cr 2.19, 1 Sr 2.40
17 F 0.7500 0.0213 0.7273  1 Cr 2.02
18 F 0.7500 0.4787 0.7273  1 Cr 2.02
19 F 0.9887 0.7500 0.0525  1 Cr 2.19, 1 Sr 2.40
20 F 0.9907 0.7500 0.4912  1 Cr 2.24, 1 Sr 2.44